(1)
DFT (GGA-PBE) results for a relaxed YTaAg2 crystal.

abc: 3.127 5.108 10.336
angles: 90.00 90.00 90.00
Space group Imm2 (No. 44)
Unique sites:
Y  0.000  0.000  0.000 x2
Ta  0.000  0.500  0.236 x2
Ag  0.000  0.000  0.496 x2
Ag  0.000  0.500  0.767 x2

Summary:
For the total moment, the calculation gives 0.000 μB per formula unit. As for the calculated total energy: -45.6 eV for the cell shown. The value obtained for the energy of formation is 1.23 eV/f.u. Its offset from the most stable computed form is 159 meV per atom.

***

(2)
DFT (GGA-PBE) results for a relaxed YTaAg2 crystal.

abc: 6.201 8.533 3.042
angles: 90.00 90.00 90.00
Space group Cmmm (No. 65)
Unique sites:
Y  0.000  0.000  0.000 x2
Ta  0.000  0.500  0.000 x2
Ag  0.250  0.250  0.500 x4

Summary:
For the total moment, the calculation gives 0.000 μB per formula unit. As for the calculated total energy: -45.9 eV for the cell shown. The value obtained for the energy of formation is 1.05 eV/f.u. Its offset from the most stable computed form is 114 meV per atom.

***

(3)
DFT (GGA-PBE) results for a relaxed TaZnAg2 crystal.

abc: 4.015 4.015 4.282
angles: 90.00 90.00 90.00
Space group P4/mmm (No. 123)
Unique sites:
Ta  0.000  0.000  0.000 x1
Zn  0.500  0.500  0.000 x1
Ag  0.000  0.500  0.500 x2

Summary:
For the total moment, the calculation gives 0.580 μB per formula unit. As for the calculated total energy: -17.1 eV for the cell shown. The value obtained for the energy of formation is 1.73 eV/f.u.

***

(4)
DFT (GGA-PBE) results for a relaxed Ta2ZnAg crystal.

abc: 3.545 4.385 8.880
angles: 90.00 90.00 90.00
Space group Cmm2 (No. 35)
Unique sites:
Ta  0.000  0.000  0.000 x2
Ta  0.000  0.500  0.254 x2
Zn  0.000  0.000  0.498 x2
Ag  0.000  0.500  0.736 x2

Summary:
For the total moment, the calculation gives 0.000 μB per formula unit. As for the calculated total energy: -55.2 eV for the cell shown. The value obtained for the energy of formation is 0.24 eV/f.u.

***

(5)
DFT (GGA-PBE) results for a relaxed Ta2ZnAg crystal.

abc: 2.8663 2.8663 29.3726
angles: 90.00 90.00 120.00
Space group R3m (No. 160, hexagonal axes)
Unique sites:
Ta  0.0000  0.0000  0.0000 x3
Ta  0.0000  0.0000  0.2448 x3
Zn  0.0000  0.0000  0.7480 x3
Ag  0.0000  0.0000  0.4921 x3

Summary:
For the total moment, the calculation gives 0.000 μB per formula unit. As for the calculated total energy: -81.3 eV for the cell shown. The value obtained for the energy of formation is 0.73 eV/f.u.

***

(6)
DFT (GGA-PBE) results for a relaxed TaZnAg2 crystal.

abc: 3.172 4.556 9.494
angles: 90.00 90.00 90.00
Space group Cmmm (No. 65)
Unique sites:
Ta  0.000  0.000  0.000 x2
Zn  0.000  0.000  0.500 x2
Ag  0.000  0.500  0.260 x4

Summary:
For the total moment, the calculation gives 0.000 μB per formula unit. As for the calculated total energy: -36.2 eV for the cell shown. The value obtained for the energy of formation is 0.72 eV/f.u.